Record 1
NbV2ZnCr | PBE | relaxed

Cell and atoms, written as extended XYZ:
```
5
Lattice="4.340 0.000 0.000 0.000 4.340 0.000 0.000 0.000 4.761" Properties=species:S:1:pos:R:3 pbc="T T T"
Nb 0.000 0.000 0.000
V 0.000 2.170 2.381
V 2.170 0.000 2.381
Zn 0.000 0.000 2.381
Cr 2.170 2.170 0.000
```

Values from the calculation:
Magnetization (μB/f.u.): 0.00

Record 2
NbVZnCr2 | PBE | relaxed

Cell and atoms, written as extended XYZ:
```
5
Lattice="4.327 0.000 0.000 0.000 4.327 0.000 0.000 0.000 4.412" Properties=species:S:1:pos:R:3 pbc="T T T"
Nb 0.000 0.000 0.000
V 2.164 2.164 0.000
Zn 2.164 2.164 2.206
Cr 0.000 2.164 2.206
Cr 2.164 0.000 2.206
```

Values from the calculation:
Magnetization (μB/f.u.): 0.01

| no. | E_form (eV/atom) |
| --- | --- |
| 1 | 1.640 |
| 2 | 1.480 |